VASP calculation (PBE) on Mg2GaRh after structural relaxation.

Properties
The formation energy comes out at -8.55 kcal/mol of atoms. The calculation puts the density of states at the Fermi level at 1.64 states/eV/f.u.

Cell lengths 4.052, 4.052, 3.972 Å; angles 90.00, 90.00, 90.00 degrees
Space group P4/mmm (No. 123)
One atom of each set of equivalent atoms:
Mg1 0.000 0.500 0.000
Ga1 0.000 0.000 0.500
Rh1 0.500 0.500 0.500